ZrAgP2Se: optimized geometry, PBE-GGA.

a = 4.8510 Å, b = 4.8510 Å, c = 4.9534 Å
α = 90.00°, β = 90.00°, γ = 90.00°
Fractional coordinates of all 5 atoms:
Zr (0.0000, 0.0000, 0.0000)
Ag (0.5000, 0.5000, 0.0000)
P (0.0000, 0.5000, 0.5000)
P (0.5000, 0.0000, 0.5000)
Se (0.0000, 0.0000, 0.5000)

Values from the calculation:
ρ = 4.84 g cm⁻³
crystal system = tetragonal
E_form (uncorrected) = 784 meV per atom
DOS(E_F) = 0.84 states/eV per atom
symmetry = P4/mmm, No. 123